No. 1
{
  "formula": "UP2O8",
  "functional": "PBE",
  "state": "relaxed",
  "cell": [[-1.768, -4.662, -1.018], [4.229, -1.817, -4.042], [4.741, -3.328, 1.992]],
  "species": ["U", "P", "P", "O", "O", "O", "O", "O", "O", "O", "O"],
  "fractional_positions": [[0.000, 0.000, 0.000], [0.670, 0.807, 0.807], [0.330, 0.193, 0.193], [0.204, 0.310, 0.932], [0.796, 0.068, 0.690], [0.358, 0.863, 0.863], [0.642, 0.137, 0.137], [0.204, 0.932, 0.310], [0.796, 0.690, 0.068], [0.731, 0.664, 0.664], [0.269, 0.336, 0.336]],
  "raw_formation_energy_ev_per_atom": -2.270
}


No. 2
{
  "formula": "Nd7SmDy3",
  "functional": "PBE",
  "state": "relaxed",
  "cell": [[0.452, 5.546, 8.666], [-6.787, -5.798, -5.136], [5.583, -5.934, 9.592]],
  "species": ["Nd", "Nd", "Nd", "Nd", "Nd", "Nd", "Nd", "Nd", "Nd", "Nd", "Nd", "Nd", "Nd", "Nd", "Sm", "Sm", "Dy", "Dy", "Dy", "Dy", "Dy", "Dy"],
  "fractional_positions": [[0.166, 0.846, 0.225], [0.154, 0.834, 0.725], [0.084, 0.419, 0.529], [0.084, 0.420, 0.030], [0.581, 0.916, 0.029], [0.580, 0.916, 0.530], [0.269, 0.269, 0.750], [0.731, 0.731, 0.250], [0.419, 0.084, 0.971], [0.420, 0.084, 0.470], [0.916, 0.580, 0.970], [0.916, 0.581, 0.471], [0.846, 0.166, 0.275], [0.834, 0.154, 0.775], [0.500, 0.500, 0.000], [0.500, 0.500, 0.500], [0.328, 0.666, 0.776], [0.000, 0.000, 0.000], [0.000, 0.000, 0.500], [0.334, 0.672, 0.276], [0.666, 0.328, 0.724], [0.672, 0.334, 0.224]],
  "delta_e_f_ev_per_atom": 0.1778
}


No. 3
{
  "formula": "Y3TlF10",
  "functional": "PBE",
  "state": "relaxed",
  "cell": [[8.319, 0.000, 0.000], [-4.160, 7.204, 0.000], [0.000, 0.000, 13.581]],
  "species": ["Y", "Y", "Y", "Y", "Y", "Y", "Y", "Y", "Y", "Y", "Y", "Y", "Tl", "Tl", "Tl", "Tl", "F", "F", "F", "F", "F", "F", "F", "F", "F", "F", "F", "F", "F", "F", "F", "F", "F", "F", "F", "F", "F", "F", "F", "F", "F", "F", "F", "F", "F", "F", "F", "F", "F", "F", "F", "F", "F", "F", "F", "F"],
  "fractional_positions": [[0.652, 0.826, 0.774], [0.174, 0.826, 0.774], [0.348, 0.174, 0.274], [0.174, 0.348, 0.774], [0.826, 0.174, 0.274], [0.826, 0.652, 0.274], [0.989, 0.495, 0.515], [0.505, 0.495, 0.515], [0.011, 0.505, 0.015], [0.505, 0.011, 0.515], [0.495, 0.505, 0.015], [0.495, 0.989, 0.015], [0.667, 0.333, 0.768], [0.333, 0.667, 0.268], [0.000, 0.000, 0.523], [0.000, 0.000, 0.023], [0.633, 0.817, 0.950], [0.183, 0.817, 0.950], [0.367, 0.183, 0.450], [0.183, 0.367, 0.950], [0.817, 0.183, 0.450], [0.817, 0.633, 0.450], [0.667, 0.333, 0.557], [0.333, 0.667, 0.057], [0.667, 0.333, 0.229], [0.333, 0.667, 0.729], [0.446, 0.223, 0.978], [0.777, 0.223, 0.978], [0.554, 0.777, 0.478], [0.777, 0.554, 0.978], [0.223, 0.777, 0.478], [0.223, 0.446, 0.478], [0.219, 0.110, 0.806], [0.890, 0.110, 0.806], [0.781, 0.890, 0.306], [0.890, 0.781, 0.806], [0.110, 0.890, 0.306], [0.110, 0.219, 0.306], [0.336, 0.341, 0.645], [0.659, 0.994, 0.645], [0.664, 0.659, 0.145], [0.336, 0.994, 0.645], [0.006, 0.664, 0.645], [0.341, 0.006, 0.145], [0.659, 0.664, 0.645], [0.664, 0.006, 0.145], [0.994, 0.336, 0.145], [0.341, 0.336, 0.145], [0.006, 0.341, 0.645], [0.994, 0.659, 0.145], [0.041, 0.520, 0.841], [0.480, 0.520, 0.841], [0.959, 0.480, 0.341], [0.480, 0.959, 0.841], [0.520, 0.480, 0.341], [0.520, 0.041, 0.341]],
  "raw_formation_energy_ev_per_atom": -3.806
}


Number 1: M_tot 0.00 μB per formula unit. Number 2: M_tot 0.00 μB per formula unit. Number 3: M_tot 0.00 μB per formula unit.